Computed, not measured: a relaxed HfNb2Ge crystal at the GGA-PBE level of DFT.

Unit cell a=3.5875 b=5.3413 c=8.3004 alpha=90.00 beta=90.00 gamma=109.60
Last column: nearest neighbours and their distance in Å.
Positions (direct):
Ge  0.2375  0.4748  0.2500  6 Nb 2.66-2.74, 3 Hf 2.81-2.86
Ge  0.7625  0.5252  0.7500  6 Nb 2.66-2.74, 3 Hf 2.81-2.86
Hf  0.9526  0.9055  0.2500  3 Ge 2.81-2.86, 4 Nb 3.11
Hf  0.0474  0.0945  0.7500  3 Ge 2.81-2.86, 4 Nb 3.11
Nb  0.3594  0.7191  0.5451  3 Ge 2.66-2.74, 3 Nb 2.92-2.94
Nb  0.3594  0.7191  0.9549  3 Ge 2.66-2.74, 3 Nb 2.92-2.94
Nb  0.6406  0.2809  0.0451  3 Ge 2.66-2.74, 3 Nb 2.92-2.94
Nb  0.6406  0.2809  0.4549  3 Ge 2.66-2.74, 3 Nb 2.92-2.94

Properties
Total magnetization: 0.0 Bohr magnetons per cell
Space group: Cmcm (63)
ΔE_f: -147 kJ/mol of formula units

---

Computed, not measured: a relaxed HfNbGe2 crystal at the GGA-PBE level of DFT.

Unit cell a=6.0035 b=6.0035 c=7.2711 alpha=65.62 beta=65.62 gamma=90.00
Last column: nearest neighbours and their distance in Å.
Positions (direct):
Hf  0.0000  0.0000  0.0000  4 Ge 2.64
Hf  0.7500  0.2500  0.5000  4 Ge 2.64
Ge  0.3750  0.3909  0.7500  2 Nb 2.53, 2 Hf 2.64
Ge  0.8750  0.8591  0.7500  2 Nb 2.53, 2 Hf 2.64
Ge  0.1409  0.6250  0.2500  2 Nb 2.53, 2 Hf 2.64
Ge  0.6091  0.1250  0.2500  2 Nb 2.53, 2 Hf 2.64
Nb  0.5000  0.5000  0.0000  4 Ge 2.53
Nb  0.2500  0.7500  0.5000  4 Ge 2.53

Properties
Total magnetization: 0.0 Bohr magnetons per cell
Space group: I-42d (122)
ΔE_f: 228 kJ/mol of formula units

---

Computed, not measured: a relaxed Hf2Nb3Ge2 crystal at the GGA-PBE level of DFT.

Unit cell a=3.6061 b=5.4560 c=7.0785 alpha=94.74 beta=90.00 gamma=109.30
Last column: nearest neighbours and their distance in Å.
Positions (direct):
Ge  0.0852  0.1703  0.6376  1 Ge 2.50, 3 Nb 2.60-2.78
Ge  0.9148  0.8297  0.3624  1 Ge 2.50, 3 Nb 2.60-2.78
Hf  0.6352  0.2704  0.3412  5 Ge 2.85-2.91, 2 Nb 3.06
Hf  0.3648  0.7296  0.6588  5 Ge 2.85-2.91, 2 Nb 3.06
Nb  0.6862  0.3724  0.8703  2 Ge 2.60, 4 Nb 2.82-2.84
Nb  0.0000  0.0000  0.0000  2 Ge 2.78, 4 Nb 2.84
Nb  0.3138  0.6276  0.1297  2 Ge 2.60, 4 Nb 2.82-2.84

Properties
Total magnetization: 0.0 Bohr magnetons per cell
Space group: C2/m (12)
ΔE_f: -259 kJ/mol of formula units

---

Computed, not measured: a relaxed Hf2Nb3Ge4 crystal at the GGA-PBE level of DFT.

Unit cell a=6.8671 b=7.0119 c=7.0095 alpha=90.00 beta=90.00 gamma=110.09
Last column: nearest neighbours and their distance in Å.
Positions (direct):
Ge  0.8644  0.4861  0.1329  1 Ge 2.59, 5 Nb 2.60-2.73, 2 Hf 2.80-2.84
Ge  0.3466  0.0797  0.9668  4 Nb 2.58-2.78, 1 Ge 2.74, 2 Hf 2.77-2.89
Ge  0.3644  0.4861  0.3671  1 Ge 2.59, 5 Nb 2.60-2.73, 2 Hf 2.80-2.84
Ge  0.6356  0.5139  0.6329  1 Ge 2.59, 5 Nb 2.60-2.73, 2 Hf 2.80-2.84
Ge  0.8466  0.0797  0.5332  4 Nb 2.58-2.78, 1 Ge 2.74, 2 Hf 2.77-2.89
Ge  0.1356  0.5139  0.8671  1 Ge 2.59, 5 Nb 2.60-2.73, 2 Hf 2.80-2.84
Ge  0.1534  0.9203  0.4668  4 Nb 2.58-2.78, 1 Ge 2.74, 2 Hf 2.77-2.89
Ge  0.6534  0.9203  0.0332  4 Nb 2.58-2.78, 1 Ge 2.74, 2 Hf 2.77-2.89
Nb  0.7441  0.2492  0.8255  6 Ge 2.58-2.76
Nb  0.2441  0.2492  0.6745  6 Ge 2.58-2.76
Nb  0.7559  0.7508  0.3255  6 Ge 2.58-2.76
Nb  0.0000  0.5000  0.5000  6 Ge 2.70-2.78
Nb  0.2559  0.7508  0.1745  6 Ge 2.58-2.76
Nb  0.5000  0.5000  0.0000  6 Ge 2.70-2.78
Hf  0.9468  0.8143  0.8301  7 Ge 2.77-3.04
Hf  0.5532  0.1857  0.3301  7 Ge 2.77-3.04
Hf  0.0532  0.1857  0.1699  7 Ge 2.77-3.04
Hf  0.4468  0.8143  0.6699  7 Ge 2.77-3.04

Properties
Total magnetization: 0.0 Bohr magnetons per cell
Space group: P2_1/c (14)
ΔE_f: -556 kJ/mol of formula units

---

Computed, not measured: a relaxed HfNb2Ge2 crystal at the GGA-PBE level of DFT.

Unit cell a=3.9499 b=3.9499 c=6.5542 alpha=72.46 beta=72.46 gamma=90.00
Last column: nearest neighbours and their distance in Å.
Positions (direct):
Nb  0.2500  0.7500  0.5000  4 Ge 2.66, 4 Nb 2.79
Nb  0.7500  0.2500  0.5000  4 Ge 2.66, 4 Nb 2.79
Hf  0.0000  0.0000  0.0000  8 Ge 3.03
Ge  0.5998  0.5998  0.8003  1 Ge 2.37
Ge  0.4002  0.4002  0.1997  1 Ge 2.37

Properties
Total magnetization: 0.0 Bohr magnetons per cell
Space group: I4/mmm (139)
ΔE_f: -157 kJ/mol of formula units

---

Computed, not measured: a relaxed HfNbGe2Pb crystal at the GGA-PBE level of DFT.

Unit cell a=4.9342 b=5.4125 c=4.9342 alpha=90.00 beta=90.00 gamma=90.00
Last column: nearest neighbours and their distance in Å.
Positions (direct):
Ge  0.5000  0.0000  0.0000  2 Nb 2.47
Ge  0.0000  0.0000  0.5000  2 Nb 2.47
Nb  0.0000  0.0000  0.0000  4 Ge 2.47, 2 Pb 2.71
Hf  0.5000  0.5000  0.5000  4 Pb 3.49, 8 Ge 3.66
Pb  0.0000  0.5000  0.0000  2 Nb 2.71

Properties
Total magnetization: 0.0 Bohr magnetons per cell
Space group: P4/mmm (123)
ΔE_f: 398 kJ/mol of formula units

---

Computed, not measured: a relaxed HfTiNb2Ge crystal at the GGA-PBE level of DFT.

Unit cell a=4.5987 b=5.1013 c=4.5987 alpha=90.00 beta=90.00 gamma=90.00
Last column: nearest neighbours and their distance in Å.
Positions (direct):
Ge  0.5000  0.5000  0.5000  4 Hf 3.25, 8 Nb 3.43
Ti  0.0000  0.0000  0.0000  4 Nb 2.30, 2 Hf 2.55
Nb  0.5000  0.0000  0.0000  2 Ti 2.30
Nb  0.0000  0.0000  0.5000  2 Ti 2.30
Hf  0.0000  0.5000  0.0000  2 Ti 2.55

Properties
Total magnetization: 0.0 Bohr magnetons per cell
Space group: P4/mmm (123)
ΔE_f: 503 kJ/mol of formula units

---

Computed, not measured: a relaxed HfNb2TlGe crystal at the GGA-PBE level of DFT.

Unit cell a=5.0294 b=5.0721 c=5.0294 alpha=90.00 beta=90.00 gamma=90.00
Last column: nearest neighbours and their distance in Å.
Positions (direct):
Nb  0.0000  0.0000  0.5000  2 Hf 2.51
Nb  0.5000  0.0000  0.0000  2 Hf 2.51
Ge  0.0000  0.5000  0.0000  2 Hf 2.54
Hf  0.0000  0.0000  0.0000  4 Nb 2.51, 2 Ge 2.54
Tl  0.5000  0.5000  0.5000  4 Ge 3.56, 8 Nb 3.57

Properties
Total magnetization: 0.0 Bohr magnetons per cell
Space group: P4/mmm (123)
ΔE_f: 612 kJ/mol of formula units